(1)
Here is crystalline CsSeSBr2 at its relaxed geometry from the Alexandria database. Energies are from PBE-GGA.

Properties
The value obtained for the formation energy from raw total energies is 0.716 eV/atom. The value obtained for the excess energy over the best structure of this formula in the dataset is 1.1170 eV per atom. As for the size of the total moment: 0.941 μB per atom.

a = 6.6333 Å, b = 6.6333 Å, c = 5.9968 Å
α = 90.00°, β = 90.00°, γ = 90.00°
Element x y z (fractional)
Cs (0.0000, 0.0000, 0.0000)
S (0.5000, 0.5000, 0.5000)
Se (0.0000, 0.0000, 0.5000)
Br (0.0000, 0.5000, 0.0000)
Br (0.5000, 0.0000, 0.0000)



(2)
Here is crystalline Cs5SiS4Br2 at its relaxed geometry from the Alexandria database. Energies are from PBE-GGA.

Properties
The value obtained for the formation energy from raw total energies is -1.230 eV/atom. As for the size of the total moment: 0.092 μB per atom.

a = 8.5570 Å, b = 7.3422 Å, c = 10.3026 Å
α = 90.00°, β = 90.00°, γ = 125.64°
Element x y z (fractional)
Cs (0.1160, 0.3902, 0.2219)
Cs (0.4497, 0.0000, 0.5000)
Cs (0.1160, 0.3902, 0.7781)
Cs (0.7258, 0.6098, 0.7781)
Cs (0.7258, 0.6098, 0.2219)
Si (0.3785, 0.0000, 0.0000)
S (0.5425, 0.0000, 0.1581)
S (0.5425, 0.0000, 0.8419)
S (0.3709, 0.2840, 0.0000)
S (0.0869, 0.7160, 0.0000)
Br (0.9413, 0.5313, 0.5000)
Br (0.4100, 0.4687, 0.5000)



(3)
Here is crystalline Cs2SnSBr6 at its relaxed geometry from the Alexandria database. Energies are from PBE-GGA.

Properties
The value obtained for the formation energy from raw total energies is -0.904 eV/atom. As for the size of the total moment: 0.000 μB per atom.

a = 7.6299 Å, b = 7.6299 Å, c = 8.5265 Å
α = 63.42°, β = 63.42°, γ = 90.00°
Element x y z (fractional)
Cs (0.7500, 0.2500, 0.5000)
Cs (0.2500, 0.7500, 0.5000)
S (0.5000, 0.5000, 0.0000)
Sn (0.0000, 0.0000, 0.0000)
Br (0.2156, 0.2156, 0.5689)
Br (0.7844, 0.7844, 0.4311)
Br (0.2634, 0.2634, 0.0000)
Br (0.7366, 0.7366, 0.0000)
Br (0.7366, 0.2634, 0.0000)
Br (0.2634, 0.7366, 0.0000)



(4)
Here is crystalline CsSnSBr2 at its relaxed geometry from the Alexandria database. Energies are from PBE-GGA.

Properties
The value obtained for the formation energy from raw total energies is -0.931 eV/atom. As for the size of the total moment: 0.000 μB per atom.

a = 5.8528 Å, b = 5.8528 Å, c = 5.0444 Å
α = 90.00°, β = 90.00°, γ = 90.00°
Element x y z (fractional)
Cs (0.5000, 0.5000, 0.5000)
S (0.0000, 0.0000, 0.5000)
Sn (0.0000, 0.0000, 0.0000)
Br (0.0000, 0.5000, 0.0000)
Br (0.5000, 0.0000, 0.0000)



(5)
Here is crystalline CsSrSBr at its relaxed geometry from the Alexandria database. Energies are from PBE-GGA.

Properties
The value obtained for the formation energy from raw total energies is -1.822 eV/atom. As for the size of the total moment: 0.009 μB per atom.

a = 4.5061 Å, b = 4.5065 Å, c = 8.8146 Å
α = 90.01°, β = 104.81°, γ = 120.00°
Element x y z (fractional)
Cs (0.9508, 0.3735, 0.3393)
Sr (0.3259, 0.5608, 0.9022)
S (0.1013, 0.9486, 0.0652)
Br (0.4999, 0.1479, 0.6630)



(6)
Here is crystalline CsTaS3Br at its relaxed geometry from the Alexandria database. Energies are from PBE-GGA.

Properties
The value obtained for the formation energy from raw total energies is -0.899 eV/atom. As for the size of the total moment: 0.000 μB per atom.

a = 6.5787 Å, b = 8.4929 Å, c = 8.8340 Å
α = 61.27°, β = 94.06°, γ = 98.46°
Element x y z (fractional)
Cs (0.2500, 0.3241, 0.3518)
Cs (0.7500, 0.6759, 0.6482)
Ta (0.7500, 0.0453, 0.9093)
Ta (0.2500, 0.9547, 0.0907)
S (0.4427, 0.8218, 0.9731)
S (0.0573, 0.2050, 0.9731)
S (0.7500, 0.1888, 0.6224)
S (0.5573, 0.1782, 0.0269)
S (0.9427, 0.7950, 0.0269)
S (0.2500, 0.8112, 0.3776)
Br (0.2500, 0.5621, 0.8757)
Br (0.7500, 0.4379, 0.1243)



(7)
Here is crystalline Cs5TaS4Br2 at its relaxed geometry from the Alexandria database. Energies are from PBE-GGA.

Properties
The value obtained for the formation energy from raw total energies is -1.433 eV/atom. As for the size of the total moment: 0.000 μB per atom.

a = 8.4079 Å, b = 7.3740 Å, c = 10.5212 Å
α = 90.00°, β = 90.00°, γ = 124.76°
Element x y z (fractional)
Cs (0.1056, 0.3837, 0.2271)
Cs (0.4477, 0.0000, 0.5000)
Cs (0.1056, 0.3837, 0.7729)
Cs (0.7219, 0.6163, 0.7729)
Cs (0.7219, 0.6163, 0.2271)
Ta (0.3947, 0.0000, 0.0000)
S (0.5538, 0.0000, 0.1777)
S (0.5538, 0.0000, 0.8223)
S (0.3827, 0.3029, 0.0000)
S (0.0798, 0.6971, 0.0000)
Br (0.9403, 0.5423, 0.5000)
Br (0.3980, 0.4577, 0.5000)



(8)
Here is crystalline Cs5Tc6S8Br7 at its relaxed geometry from the Alexandria database. Energies are from PBE-GGA.

Properties
The value obtained for the formation energy from raw total energies is -1.108 eV/atom. As for the size of the total moment: 0.009 μB per atom.

a = 10.3263 Å, b = 10.3263 Å, c = 19.7409 Å
α = 74.84°, β = 74.84°, γ = 60.00°
Element x y z (fractional)
Cs (0.7500, 0.0822, 0.7500)
Cs (0.4178, 0.7500, 0.7500)
Cs (0.0822, 0.4178, 0.7500)
Cs (0.9178, 0.5822, 0.2500)
Cs (0.2500, 0.9178, 0.2500)
Cs (0.5822, 0.2500, 0.2500)
Cs (0.3322, 0.3322, 0.0035)
Cs (0.8322, 0.8322, 0.5035)
Cs (0.6678, 0.6678, 0.9965)
Cs (0.1678, 0.1678, 0.4965)
Tc (0.8613, 0.1492, 0.9436)
Tc (0.0458, 0.8613, 0.9436)
Tc (0.1492, 0.0458, 0.9436)
Tc (0.5458, 0.6492, 0.4436)
Tc (0.3613, 0.5458, 0.4436)
Tc (0.6492, 0.3613, 0.4436)
Tc (0.1387, 0.8508, 0.0564)
Tc (0.9542, 0.1387, 0.0564)
Tc (0.8508, 0.9542, 0.0564)
Tc (0.4542, 0.3508, 0.5564)
Tc (0.6387, 0.4542, 0.5564)
Tc (0.3508, 0.6387, 0.5564)
S (0.6932, 0.2221, 0.0525)
S (0.0322, 0.6932, 0.0525)
S (0.2221, 0.0322, 0.0525)
S (0.5322, 0.7221, 0.5525)
S (0.1932, 0.5322, 0.5525)
S (0.7221, 0.1932, 0.5525)
S (0.3068, 0.7779, 0.9475)
S (0.9678, 0.3068, 0.9475)
S (0.7779, 0.9678, 0.9475)
S (0.4678, 0.2779, 0.4475)
S (0.8068, 0.4678, 0.4475)
S (0.2779, 0.8068, 0.4475)
S (0.0521, 0.0521, 0.8436)
S (0.5521, 0.5521, 0.3436)
S (0.9479, 0.9479, 0.1564)
S (0.4479, 0.4479, 0.6564)
Br (0.6581, 0.3620, 0.8669)
Br (0.1131, 0.6581, 0.8669)
Br (0.3620, 0.1131, 0.8669)
Br (0.6131, 0.8620, 0.3669)
Br (0.1581, 0.6131, 0.3669)
Br (0.8620, 0.1581, 0.3669)
Br (0.3419, 0.6380, 0.1331)
Br (0.8869, 0.3419, 0.1331)
Br (0.6380, 0.8869, 0.1331)
Br (0.3869, 0.1380, 0.6331)
Br (0.8419, 0.3869, 0.6331)
Br (0.1380, 0.8419, 0.6331)
Br (0.7500, 0.7500, 0.7500)
Br (0.2500, 0.2500, 0.2500)



no.,calculated volume (Å³ per cell)
1,263.9
2,526.0
3,384.4
4,172.8
5,148.1
6,428.1
7,535.9
8,1737.9